Li6CaCd4 | PBE-GGA | relaxed

Geometry as CIF:
```
data_Li6CaCd4
_symmetry_space_group_name_H-M 'P -6 m 2'
_symmetry_Int_Tables_number 187
_symmetry_space_group_name_Hall 'P -6 2'
_cell_length_a 8.1123
_cell_length_b 8.1123
_cell_length_c 4.1691
_cell_angle_alpha 90.00
_cell_angle_beta 90.00
_cell_angle_gamma 120.00
loop_
_atom_site_label
_atom_site_fract_x
_atom_site_fract_y
_atom_site_fract_z
_atom_site_occupancy
Li1 0.1961 0.3921 0.0000 1
Li2 0.2639 0.1320 0.5000 1
Ca1 0.6667 0.3333 0.0000 1
Cd1 0.0000 0.0000 0.0000 1
Cd2 0.0681 0.5340 0.5000 1
```

Results
DFT formation energy: -0.1636 eV/atom
V: 21.60 A^3/atom
Density of states at the Fermi level: 5.08 states/eV per cell